Material: NbZnFe2
Method: DFT, PBE
State: optimized geometry

Properties
M_tot = 0.975 μB per formula unit
Total energy = -7.06 eV/atom
Space group = No. 123
Formation energy from the elements = 0.007 eV per atom

Cell: 4.0453 4.0453 3.1916 Å, 90.00 90.00 90.00°
Positions (direct):
Nb1 0.0000 0.0000 0.0000
Zn1 0.5000 0.5000 0.0000
Fe1 0.0000 0.5000 0.5000
Fe2 0.5000 0.0000 0.5000